# 1
The following is a PBE-GGA calculation of an optimized crystal structure of CrBi3Au, from Alexandria.

a = 5.1781 Å, b = 5.1781 Å, c = 5.1781 Å
α = 90.00°, β = 90.00°, γ = 90.00°
Space group Pm-3m (No. 221)
Asymmetric unit:
1 Cr 0.0000 0.0000 0.0000 (multiplicity 1)
2 Bi 0.0000 0.0000 0.5000 (multiplicity 3)
3 Au 0.5000 0.5000 0.5000 (multiplicity 1)

- ΔH_f (0 K): 12.0 kcal/mol of atoms
- Total moment: 1.65 μB/f.u.
- Total energy: -4.39 eV per atom
- E above lowest polymorph: 0 meV per atom

# 2
The following is a PBE-GGA calculation of an optimized crystal structure of CrCu2BiAu, from Alexandria.

a = 4.5675 Å, b = 4.5675 Å, c = 4.8495 Å
α = 90.00°, β = 90.00°, γ = 90.00°
Space group P4/mmm (No. 123)
Asymmetric unit:
1 Cr 0.0000 0.0000 0.0000 (multiplicity 1)
2 Cu 0.0000 0.5000 0.0000 (multiplicity 2)
3 Bi 0.5000 0.5000 0.5000 (multiplicity 1)
4 Au 0.0000 0.0000 0.5000 (multiplicity 1)

- ΔH_f (0 K): 23.3 kcal/mol of atoms
- Total moment: 0.00 μB/f.u.
- Total energy: -3.99 eV per atom

# 3
The following is a PBE-GGA calculation of an optimized crystal structure of Cr2GeBiAu, from Alexandria.

a = 4.7821 Å, b = 4.7821 Å, c = 4.8920 Å
α = 90.00°, β = 90.00°, γ = 90.00°
Space group P4/mmm (No. 123)
Asymmetric unit:
1 Cr 0.0000 0.5000 0.0000 (multiplicity 2)
2 Ge 0.0000 0.0000 0.0000 (multiplicity 1)
3 Bi 0.5000 0.5000 0.5000 (multiplicity 1)
4 Au 0.0000 0.0000 0.5000 (multiplicity 1)

- ΔH_f (0 K): 13.4 kcal/mol of atoms
- Total moment: 6.93 μB/f.u.
- Total energy: -5.62 eV per atom

# 4
The following is a PBE-GGA calculation of an optimized crystal structure of KCrBi2Au, from Alexandria.

a = 5.8878 Å, b = 5.8878 Å, c = 5.4446 Å
α = 90.00°, β = 90.00°, γ = 90.00°
Space group P4/mmm (No. 123)
Asymmetric unit:
1 K 0.0000 0.0000 0.0000 (multiplicity 1)
2 Cr 0.5000 0.5000 0.5000 (multiplicity 1)
3 Bi 0.0000 0.5000 0.0000 (multiplicity 2)
4 Au 0.0000 0.0000 0.5000 (multiplicity 1)

- ΔH_f (0 K): 33.2 kcal/mol of atoms
- Total moment: 4.10 μB/f.u.
- Total energy: -2.91 eV per atom